Record 1
First-principles (meta-GGA SCAN) data for a crystal of ScCr2Re relaxed with PBEsol, as listed in Alexandria via LeMat-Bulk.

a = 2.994 Å, b = 2.994 Å, c = 6.331 Å
α = 90.00°, β = 90.00°, γ = 90.00°
Element x y z (fractional)
1 Sc 0.000 0.000 0.000
2 Cr 0.500 0.500 0.278
3 Cr 0.500 0.500 0.722
4 Re 0.000 0.000 0.500

Summary:
Space-group type: P4/mmm (123)
Calculated volume, A^3/atom: 14.19
Distance to the lowest polymorph of the same formula, meV/atom: 0

Record 2
First-principles (meta-GGA SCAN) data for a crystal of ScCrRe relaxed with PBEsol, as listed in Alexandria via LeMat-Bulk.

a = 4.637 Å, b = 4.637 Å, c = 4.637 Å
α = 147.26°, β = 121.69°, γ = 68.50°
Element x y z (fractional)
1 Sc 0.000 0.000 0.000
2 Cr 0.660 0.660 0.000
3 Re 0.342 0.342 0.000

Summary:
Space-group type: Imm2 (44)
Calculated volume, A^3/atom: 15.09
Distance to the lowest polymorph of the same formula, meV/atom: 405

Ρ (g/cm3)
9.81, 10.39